First-principles (PBE-GGA) data for a relaxed MoPtCl2 crystal, as listed in the Alexandria database.

a = 6.5280 Å, b = 6.5280 Å, c = 6.5280 Å
α = 90.00°, β = 90.00°, γ = 90.00°
Positions (direct):
Mo 0.0000 0.0000 0.0000
Mo 0.0000 0.5000 0.5000
Mo 0.5000 0.0000 0.5000
Mo 0.5000 0.5000 0.0000
Pt 0.2500 0.2500 0.2500
Pt 0.2500 0.7500 0.7500
Pt 0.7500 0.2500 0.7500
Pt 0.7500 0.7500 0.2500
Cl 0.0000 0.0000 0.5000
Cl 0.0000 0.5000 0.0000
Cl 0.2500 0.2500 0.7500
Cl 0.2500 0.7500 0.2500
Cl 0.5000 0.0000 0.0000
Cl 0.5000 0.5000 0.5000
Cl 0.7500 0.2500 0.2500
Cl 0.7500 0.7500 0.7500

Calculated values
Formation energy without anion corrections ... 0.55 eV per atom
Energy above the most stable polymorph in this dataset ... 3.14 eV/f.u.